Entry 1:
VASP calculation (PBE) on a relaxed NdHoAl2Pd5 crystal.

Values from the calculation:
Size of the total moment, μB per formula unit: 0.00
ΔE_f, meV per atom: -798.0

Unit cell a=4.2662 b=4.2662 c=9.2577 alpha=90.00 beta=90.00 gamma=90.00
Closest atoms and distances in Å follow each position.
Fractional coordinates of all 9 atoms:
Pd 0.5000 0.0000 0.7293  2 Al 2.46
Pd 0.5000 0.0000 0.2707  2 Al 2.46
Pd 0.5000 0.5000 0.5000  8 Pd 3.01, 4 Nd 3.02, 2 Al 3.34
Al 0.5000 0.5000 0.1390  4 Pd 2.46, 1 Al 2.57
Pd 0.0000 0.5000 0.2707  2 Al 2.46
Nd 0.0000 0.0000 0.5000  12 Pd 3.01-3.02
Pd 0.0000 0.5000 0.7293  2 Al 2.46
Ho 0.0000 0.0000 0.0000  8 Al 3.28, 8 Pd 3.29
Al 0.5000 0.5000 0.8610  4 Pd 2.46, 1 Al 2.57


Entry 2:
VASP calculation (PBE) on a relaxed BaHfSiSb2 crystal.

Values from the calculation:
Size of the total moment, μB per formula unit: 0.00
Raw formation energy, eV/atom: 1.91

Unit cell a=5.9917 b=5.6824 c=5.9917 alpha=90.00 beta=90.00 gamma=90.00
Closest atoms and distances in Å follow each position.
Fractional coordinates of all 5 atoms:
Si 0.5000 0.5000 0.5000  8 Sb 4.13, 4 Hf 4.24
Sb 0.0000 0.0000 0.5000  2 Ba 3.00
Sb 0.5000 0.0000 0.0000  2 Ba 3.00
Ba 0.0000 0.0000 0.0000  2 Hf 2.84, 4 Sb 3.00
Hf 0.0000 0.5000 0.0000  2 Ba 2.84


Entry 3:
VASP calculation (PBE) on a relaxed Tb5DyS8 crystal.

Values from the calculation:
Size of the total moment, μB per formula unit: 0.00
Raw formation energy, eV/atom: -2.01

Unit cell a=7.2893 b=7.2893 c=7.2893 alpha=107.83 beta=112.81 gamma=107.83
Closest atoms and distances in Å follow each position.
Fractional coordinates of all 14 atoms:
Tb 0.5000 0.0000 0.5000  8 S 2.84-2.98
S 0.7612 0.2564 0.3786  4 Tb 2.74-2.84, 1 Dy 2.98
Tb 0.3754 0.0865 0.9609  6 S 2.74-2.84
S 0.6214 0.3827 0.8779  4 Tb 2.74-2.84, 1 Dy 2.98
S 0.4952 0.6173 0.2388  4 Tb 2.74-2.84, 1 Dy 2.98
S 0.1294 0.7559 0.0099  4 Tb 2.74-2.98, 1 Dy 2.82
Tb 0.0391 0.4144 0.1256  6 S 2.74-2.84
Tb 0.7111 0.5856 0.6246  6 S 2.74-2.84
Tb 0.8744 0.9135 0.2889  6 S 2.74-2.84
S 0.2540 0.2441 0.3735  4 Tb 2.74-2.98, 1 Dy 2.82
S 0.6265 0.8805 0.8706  4 Tb 2.74-2.98, 1 Dy 2.82
S 0.1221 0.7436 0.5048  4 Tb 2.74-2.84, 1 Dy 2.98
Dy 0.2500 0.5000 0.7500  8 S 2.82-2.98
S 0.9901 0.1195 0.7460  4 Tb 2.74-2.98, 1 Dy 2.82


Entry 4:
VASP calculation (PBE) on a relaxed Ni2Mo2PtRh2 crystal.

Values from the calculation:
Size of the total moment, μB per formula unit: 0.00
ΔE_f, meV per atom: -146.7

Unit cell a=2.7156 b=9.6507 c=8.0615 alpha=151.07 beta=90.00 gamma=98.09
Closest atoms and distances in Å follow each position.
Fractional coordinates of all 7 atoms:
Rh 0.8571 0.7141 0.6302  5 Mo 2.59-2.75, 2 Ni 2.67, 5 Rh 2.72-2.79
Pt 0.0000 0.0000 0.5000  6 Ni 2.68, 2 Pt 2.72, 4 Mo 2.74
Rh 0.1429 0.2859 0.3698  5 Mo 2.59-2.75, 2 Ni 2.67, 5 Rh 2.72-2.79
Ni 0.7166 0.4332 0.7970  4 Ni 2.61-2.72, 3 Mo 2.65-2.84, 2 Rh 2.67, 3 Pt 2.68
Mo 0.5812 0.1624 0.9517  5 Rh 2.59-2.75, 3 Ni 2.65-2.84, 2 Mo 2.72, 2 Pt 2.74
Mo 0.4188 0.8376 0.0483  5 Rh 2.59-2.75, 3 Ni 2.65-2.84, 2 Mo 2.72, 2 Pt 2.74
Ni 0.2834 0.5668 0.2030  4 Ni 2.61-2.72, 3 Mo 2.65-2.84, 2 Rh 2.67, 3 Pt 2.68


Entry 5:
VASP calculation (PBE) on a relaxed Th2BeGe3Rh4 crystal.

Values from the calculation:
Size of the total moment, μB per formula unit: 0.00
ΔE_f, meV per atom: -836.3

Unit cell a=4.2091 b=4.2091 c=10.1016 alpha=90.00 beta=90.00 gamma=90.00
Closest atoms and distances in Å follow each position.
Fractional coordinates of all 10 atoms:
Rh 0.0000 0.5000 0.3777  3 Ge 2.44-2.46, 2 Be 2.44
Rh 0.5000 0.5000 0.0000  4 Ge 2.50
Ge 0.0000 0.0000 0.5000  4 Rh 2.44
Ge 0.5000 0.0000 0.8656  5 Rh 2.46-2.50
Rh 0.0000 0.0000 0.0000  4 Ge 2.50
Th 0.0000 0.5000 0.7396  8 Rh 3.20-3.37, 6 Ge 3.21-3.24, 2 Be 3.21
Ge 0.0000 0.5000 0.1344  5 Rh 2.46-2.50
Be 0.5000 0.5000 0.5000  4 Rh 2.44
Th 0.5000 0.0000 0.2604  8 Rh 3.20-3.37, 6 Ge 3.21-3.24, 2 Be 3.21
Rh 0.5000 0.0000 0.6223  3 Ge 2.44-2.46, 2 Be 2.44


Entry 6:
VASP calculation (PBE) on a relaxed NaLiNd2S4 crystal.

Values from the calculation:
Size of the total moment, μB per formula unit: 0.00
Raw formation energy, eV/atom: -1.77

Unit cell a=8.1315 b=8.1315 c=8.0953 alpha=119.84 beta=119.84 gamma=90.05
Closest atoms and distances in Å follow each position.
Fractional coordinates of all 16 atoms:
Nd 0.5000 0.5000 0.0000  6 S 2.85-2.86
S 0.7402 0.2441 0.9921  3 Nd 2.83-2.85, 1 Li 2.90, 2 Na 2.92
S 0.7442 0.2402 0.4921  3 Nd 2.83-2.85, 1 Li 2.90, 2 Na 2.92
S 0.2598 0.7558 0.0079  3 Nd 2.83-2.85, 1 Li 2.90, 2 Na 2.92
S 0.7466 0.7536 0.0026  3 Nd 2.84-2.86, 2 Li 2.89, 1 Na 2.92
S 0.2558 0.7598 0.5079  3 Nd 2.83-2.85, 1 Li 2.90, 2 Na 2.92
S 0.2536 0.2466 0.5026  3 Nd 2.84-2.86, 2 Li 2.89, 1 Na 2.92
Nd 0.5000 0.0000 0.5000  6 S 2.83-2.84
Nd 0.5000 0.0000 0.0000  6 S 2.83-2.84
S 0.7464 0.7534 0.4974  3 Nd 2.84-2.86, 2 Li 2.89, 1 Na 2.92
Nd 0.0000 0.0000 0.5000  6 S 2.85-2.86
S 0.2534 0.2464 0.9974  3 Nd 2.84-2.86, 2 Li 2.89, 1 Na 2.92
Na 0.0000 0.5000 0.5000  6 S 2.92
Li 0.0000 0.0000 0.0000  6 S 2.89-2.90
Na 0.0000 0.5000 0.0000  6 S 2.92
Li 0.5000 0.5000 0.5000  6 S 2.89-2.90


Entry 7:
VASP calculation (PBE) on a relaxed NaRh3O crystal.

Values from the calculation:
Size of the total moment, μB per formula unit: 5.18
Raw formation energy, eV/atom: 2.28
Relative energy among the computed polymorphs, meV/atom: 2084

Unit cell a=4.6194 b=4.6194 c=4.6194 alpha=90.00 beta=90.00 gamma=90.00
Closest atoms and distances in Å follow each position.
Fractional coordinates of all 5 atoms:
Rh 0.0000 0.0000 0.5000  2 Na 2.31
O 0.5000 0.5000 0.5000  12 Rh 3.27
Rh 0.5000 0.0000 0.0000  2 Na 2.31
Rh 0.0000 0.5000 0.0000  2 Na 2.31
Na 0.0000 0.0000 0.0000  6 Rh 2.31


Entry 8:
VASP calculation (PBE) on a relaxed Sr2TeBr2 crystal.

Values from the calculation:
Size of the total moment, μB per formula unit: 0.00
Raw formation energy, eV/atom: -1.96

Unit cell a=4.7061 b=4.7047 c=10.1876 alpha=90.03 beta=90.00 gamma=120.01
Closest atoms and distances in Å follow each position.
Fractional coordinates of all 5 atoms:
Sr 0.8332 0.6663 0.3064  3 Br 3.09, 3 Te 3.36
Br 0.8336 0.6672 0.8389  3 Sr 3.09
Br 0.1664 0.3328 0.1611  3 Sr 3.09
Sr 0.1668 0.3337 0.6936  3 Br 3.09, 3 Te 3.36
Te 0.5000 0.0000 0.5000  6 Sr 3.36


Entry 9:
VASP calculation (PBE) on a relaxed Th2SnAu4 crystal.

Values from the calculation:
Size of the total moment, μB per formula unit: 0.00
ΔE_f, meV per atom: -542.0

Unit cell a=4.9423 b=4.9423 c=8.9566 alpha=73.98 beta=73.98 gamma=60.00
Closest atoms and distances in Å follow each position.
Fractional coordinates of all 7 atoms:
Sn 0.0000 0.0000 0.0000  8 Au 3.07-3.34
Au 0.1311 0.1311 0.6066  4 Th 3.02-3.10, 1 Sn 3.34, 3 Au 3.38
Th 0.2498 0.2498 0.2505  8 Au 3.02-3.27
Au 0.8689 0.8689 0.3934  4 Th 3.02-3.10, 1 Sn 3.34, 3 Au 3.38
Th 0.7502 0.7502 0.7495  8 Au 3.02-3.27
Au 0.6218 0.6218 0.1347  4 Th 3.02-3.27, 3 Sn 3.07
Au 0.3782 0.3782 0.8653  4 Th 3.02-3.27, 3 Sn 3.07


Entry 10:
VASP calculation (PBE) on a relaxed SiBO crystal.

Values from the calculation:
Size of the total moment, μB per formula unit: 0.00
Raw formation energy, eV/atom: -1.04
Relative energy among the computed polymorphs, meV/atom: 0

Unit cell a=3.8749 b=2.9557 c=6.0669 alpha=90.00 beta=108.33 gamma=90.00
Closest atoms and distances in Å follow each position.
Fractional coordinates of all 6 atoms:
B 0.9690 0.0000 0.7357  2 B 1.68
Si 0.3672 0.0000 0.5782  1 O 1.65
B 0.7491 0.5000 0.6885  2 B 1.68
Si 0.3348 0.0000 0.0556  3 O 1.65-1.69
O 0.2118 0.0000 0.2921  2 Si 1.65
O 0.5552 0.5000 0.0735  2 Si 1.69


Q: Look up the size of the total moment of the sixth one.
A: 0.00 μB per formula unit